{"formula": "BiPbO3", "functional": "meta-GGA SCAN", "state": "single point on PBEsol structure", "space_group": "Pm-3m, No. 221", "m_tot_mub_per_atom": 0.000, "energy_ev_per_atom": -35.46, "cell": [[4.324, 0.000, 0.000], [0.000, 4.324, 0.000], [0.000, 0.000, 4.324]], "species": ["Bi", "Pb", "O", "O", "O"], "frac_coords": [[0.000, 0.000, 0.000], [0.500, 0.500, 0.500], [0.000, 0.000, 0.500], [0.000, 0.500, 0.000], [0.500, 0.000, 0.000]]}